The following is a PBE+U calculation of an optimized crystal structure of Pa2VAgO8, from Alexandria via LeMat-Bulk.

Cell: 4.8042 4.8042 7.1945 Å, 90.13 90.13 90.60°
Positions (direct):
Pa  0.0012  0.0012  0.2515
Pa  0.9988  0.9988  0.7485
V  0.5000  0.5000  0.5000
Ag  0.5000  0.5000  0.0000
O  0.1832  0.1832  0.9992
O  0.2077  0.2077  0.5008
O  0.3066  0.6906  0.3094
O  0.3094  0.6934  0.6906
O  0.6906  0.3066  0.3094
O  0.6934  0.3094  0.6906
O  0.7923  0.7923  0.4992
O  0.8168  0.8168  0.0008

Values from the calculation:
Magnetic moment ... 0.0 μB per cell
VASP energy ... -8.272 eV per atom
Space group ... No. 12